An optimized crystal structure of SiBIrRu, computed with PBE.

CIF file:
```
data_SiBIrRu
_chemical_formula_sum 'Si4 B4 Ir4 Ru4'
_cell_length_a 5.7065
_cell_length_b 5.7065
_cell_length_c 5.7065
_cell_angle_alpha 90.00
_cell_angle_beta 90.00
_cell_angle_gamma 90.00
_symmetry_space_group_name_H-M 'F -4 3 m'
_symmetry_Int_Tables_number 216
_symmetry_space_group_name_Hall 'F -4 2 3'
loop_
_atom_site_label
_atom_site_fract_x
_atom_site_fract_y
_atom_site_fract_z
Si1 0.0000 0.0000 0.0000
B1 0.0000 0.0000 0.5000
Ir1 0.2500 0.2500 0.2500
Ru1 0.2500 0.2500 0.7500
```

Computed properties:
As for the final energy: -123.69 eV for the cell shown. The uncorrected formation energy comes out at -171 meV/atom.


An optimized crystal structure of SmB2IrRu, computed with PBE.

CIF file:
```
data_SmB2IrRu
_chemical_formula_sum 'Sm2 B4 Ir2 Ru2'
_cell_length_a 3.9438
_cell_length_b 3.9438
_cell_length_c 9.7167
_cell_angle_alpha 90.00
_cell_angle_beta 90.00
_cell_angle_gamma 90.00
_symmetry_space_group_name_H-M 'I -4 m 2'
_symmetry_Int_Tables_number 119
_symmetry_space_group_name_Hall 'I -4 -2'
loop_
_atom_site_label
_atom_site_fract_x
_atom_site_fract_y
_atom_site_fract_z
Sm1 0.0000 0.0000 0.0000
B1 0.0000 0.0000 0.3340
Ir1 0.0000 0.5000 0.7500
Ru1 0.0000 0.5000 0.2500
```

Computed properties:
As for the final energy: -78.46 eV for the cell shown. The value obtained for the formation energy is -604 meV/atom.


An optimized crystal structure of SnBIr2Ru, computed with PBE.

CIF file:
```
data_SnBIr2Ru
_chemical_formula_sum 'Sn1 B1 Ir2 Ru1'
_cell_length_a 4.1522
_cell_length_b 4.1522
_cell_length_c 4.1976
_cell_angle_alpha 90.00
_cell_angle_beta 90.00
_cell_angle_gamma 90.00
_symmetry_space_group_name_H-M 'P 4/m m m'
_symmetry_Int_Tables_number 123
_symmetry_space_group_name_Hall '-P 4 2'
loop_
_atom_site_label
_atom_site_fract_x
_atom_site_fract_y
_atom_site_fract_z
Sn1 0.0000 0.0000 0.0000
B1 0.5000 0.5000 0.5000
Ir1 0.0000 0.5000 0.5000
Ru1 0.5000 0.5000 0.0000
```

Computed properties:
As for the final energy: -37.99 eV for the cell shown. The value obtained for the formation energy is -63 meV/atom.


An optimized crystal structure of TaBIrRu2, computed with PBE.

CIF file:
```
data_TaBIrRu2
_chemical_formula_sum 'Ta1 B1 Ir1 Ru2'
_cell_length_a 4.1019
_cell_length_b 4.1019
_cell_length_c 4.0743
_cell_angle_alpha 90.00
_cell_angle_beta 90.00
_cell_angle_gamma 90.00
_symmetry_space_group_name_H-M 'P 4/m m m'
_symmetry_Int_Tables_number 123
_symmetry_space_group_name_Hall '-P 4 2'
loop_
_atom_site_label
_atom_site_fract_x
_atom_site_fract_y
_atom_site_fract_z
Ta1 0.0000 0.0000 0.0000
B1 0.5000 0.5000 0.5000
Ir1 0.5000 0.5000 0.0000
Ru1 0.0000 0.5000 0.5000
```

Computed properties:
As for the final energy: -47.53 eV for the cell shown. The value obtained for the formation energy is -317 meV/atom.


An optimized crystal structure of ThB2IrRu, computed with PBE.

CIF file:
```
data_ThB2IrRu
_chemical_formula_sum 'Th2 B4 Ir2 Ru2'
_cell_length_a 3.9340
_cell_length_b 3.9340
_cell_length_c 9.7030
_cell_angle_alpha 90.00
_cell_angle_beta 90.00
_cell_angle_gamma 90.00
_symmetry_space_group_name_H-M 'I -4 m 2'
_symmetry_Int_Tables_number 119
_symmetry_space_group_name_Hall 'I -4 -2'
loop_
_atom_site_label
_atom_site_fract_x
_atom_site_fract_y
_atom_site_fract_z
Th1 0.0000 0.0000 0.0000
B1 0.0000 0.0000 0.3453
Ir1 0.0000 0.5000 0.7500
Ru1 0.0000 0.5000 0.2500
```

Computed properties:
As for the final energy: -84.05 eV for the cell shown. The value obtained for the formation energy is -622 meV/atom.


An optimized crystal structure of TiBIr2Ru, computed with PBE.

CIF file:
```
data_TiBIr2Ru
_chemical_formula_sum 'Ti1 B1 Ir2 Ru1'
_cell_length_a 4.7525
_cell_length_b 4.7525
_cell_length_c 3.8883
_cell_angle_alpha 90.00
_cell_angle_beta 90.00
_cell_angle_gamma 90.00
_symmetry_space_group_name_H-M 'P 4/m m m'
_symmetry_Int_Tables_number 123
_symmetry_space_group_name_Hall '-P 4 2'
loop_
_atom_site_label
_atom_site_fract_x
_atom_site_fract_y
_atom_site_fract_z
Ti1 0.0000 0.0000 0.0000
B1 0.5000 0.5000 0.0000
Ir1 0.0000 0.5000 0.5000
Ru1 0.5000 0.5000 0.5000
```

Computed properties:
As for the final energy: -35.42 eV for the cell shown. The value obtained for the formation energy is 1230 meV/atom.


An optimized crystal structure of TiBIrRu2, computed with PBE.

CIF file:
```
data_TiBIrRu2
_chemical_formula_sum 'Ti1 B1 Ir1 Ru2'
_cell_length_a 4.0781
_cell_length_b 4.0781
_cell_length_c 4.0533
_cell_angle_alpha 90.00
_cell_angle_beta 90.00
_cell_angle_gamma 90.00
_symmetry_space_group_name_H-M 'P 4/m m m'
_symmetry_Int_Tables_number 123
_symmetry_space_group_name_Hall '-P 4 2'
loop_
_atom_site_label
_atom_site_fract_x
_atom_site_fract_y
_atom_site_fract_z
Ti1 0.0000 0.0000 0.0000
B1 0.5000 0.5000 0.5000
Ir1 0.5000 0.5000 0.0000
Ru1 0.0000 0.5000 0.5000
```

Computed properties:
As for the final energy: -44.10 eV for the cell shown. The value obtained for the formation energy is -422 meV/atom.


An optimized crystal structure of YBIr2Ru, computed with PBE.

CIF file:
```
data_YBIr2Ru
_chemical_formula_sum 'Y1 B1 Ir2 Ru1'
_cell_length_a 4.1983
_cell_length_b 4.1983
_cell_length_c 4.2595
_cell_angle_alpha 90.00
_cell_angle_beta 90.00
_cell_angle_gamma 90.00
_symmetry_space_group_name_H-M 'P 4/m m m'
_symmetry_Int_Tables_number 123
_symmetry_space_group_name_Hall '-P 4 2'
loop_
_atom_site_label
_atom_site_fract_x
_atom_site_fract_y
_atom_site_fract_z
Y1 0.0000 0.0000 0.0000
B1 0.5000 0.5000 0.5000
Ir1 0.0000 0.5000 0.5000
Ru1 0.5000 0.5000 0.0000
```

Computed properties:
As for the final energy: -42.99 eV for the cell shown. The value obtained for the formation energy is -571 meV/atom.


| no. | D(E_F) (states/eV/f.u.) |
| --- | --- |
| 1 | 0.61 |
| 2 | 0.88 |
| 3 | 2.83 |
| 4 | 2.78 |
| 5 | 1.91 |
| 6 | 6.71 |
| 7 | 1.53 |
| 8 | 1.52 |